Density functional theory data (meta-GGA SCAN) for NiP2H2O7 at its PBEsol-relaxed geometry.

Output
**Final energy**: -9.228 eV/atom
**Symmetry**: P2_1/c
**Crystal system**: monoclinic

Cell lengths 8.753, 12.753, 9.531 Å; angles 90.00, 106.30, 90.00 degrees
Fractional positions:
Ni1 0.249 0.248 0.250
Ni2 0.249 0.252 0.750
Ni3 0.250 0.093 0.501
Ni4 0.250 0.407 0.001
Ni5 0.750 0.593 0.999
Ni6 0.750 0.907 0.499
Ni7 0.751 0.748 0.250
Ni8 0.751 0.752 0.750
P1 0.002 0.212 0.934
P2 0.002 0.288 0.434
P3 0.036 0.043 0.719
P4 0.036 0.457 0.219
P5 0.461 0.039 0.280
P6 0.461 0.461 0.780
P7 0.495 0.208 0.065
P8 0.495 0.292 0.565
P9 0.505 0.708 0.435
P10 0.505 0.792 0.935
P11 0.539 0.539 0.220
P12 0.539 0.961 0.720
P13 0.964 0.543 0.781
P14 0.964 0.957 0.281
P15 0.998 0.712 0.566
P16 0.998 0.788 0.066
H1 0.042 0.603 0.343
H2 0.042 0.897 0.843
H3 0.225 0.733 0.026
H4 0.225 0.767 0.526
H5 0.272 0.748 0.790
H6 0.272 0.752 0.290
H7 0.456 0.610 0.663
H8 0.456 0.890 0.163
H9 0.544 0.110 0.837
H10 0.544 0.390 0.337
H11 0.728 0.248 0.710
H12 0.728 0.252 0.210
H13 0.775 0.233 0.474
H14 0.775 0.267 0.974
H15 0.958 0.103 0.157
H16 0.958 0.397 0.657
O1 0.029 0.612 0.667
O2 0.029 0.888 0.167
O3 0.057 0.181 0.094
O4 0.057 0.319 0.594
O5 0.105 0.520 0.907
O6 0.105 0.980 0.407
O7 0.114 0.215 0.385
O8 0.114 0.285 0.885
O9 0.117 0.552 0.311
O10 0.117 0.948 0.811
O11 0.164 0.110 0.680
O12 0.164 0.390 0.180
O13 0.171 0.738 0.106
O14 0.171 0.762 0.606
O15 0.328 0.748 0.898
O16 0.328 0.752 0.398
O17 0.334 0.106 0.320
O18 0.334 0.394 0.820
O19 0.381 0.560 0.697
O20 0.381 0.940 0.197
O21 0.385 0.218 0.614
O22 0.385 0.282 0.114
O23 0.393 0.520 0.097
O24 0.393 0.980 0.597
O25 0.444 0.185 0.902
O26 0.444 0.315 0.402
O27 0.485 0.603 0.345
O28 0.485 0.897 0.845
O29 0.515 0.103 0.155
O30 0.515 0.397 0.655
O31 0.556 0.685 0.598
O32 0.556 0.815 0.098
O33 0.607 0.020 0.403
O34 0.607 0.480 0.903
O35 0.615 0.718 0.886
O36 0.615 0.782 0.386
O37 0.619 0.060 0.803
O38 0.619 0.440 0.303
O39 0.666 0.606 0.180
O40 0.666 0.894 0.680
O41 0.672 0.248 0.602
O42 0.672 0.252 0.102
O43 0.829 0.238 0.394
O44 0.829 0.262 0.894
O45 0.836 0.610 0.820
O46 0.836 0.890 0.320
O47 0.883 0.052 0.189
O48 0.883 0.448 0.689
O49 0.886 0.715 0.115
O50 0.886 0.785 0.615
O51 0.895 0.020 0.593
O52 0.895 0.480 0.093
O53 0.943 0.681 0.406
O54 0.943 0.819 0.906
O55 0.971 0.112 0.833
O56 0.971 0.388 0.333